Entry 1:
An optimized crystal structure of ScMo. Source: Alexandria, functional GGA-PBE.

Cell and atoms, written as CIF:
```
data_ScMo
_symmetry_space_group_name_H-M 'P 21 21 21'
_symmetry_Int_Tables_number 19
_cell_length_a 5.430
_cell_length_b 5.722
_cell_length_c 9.823
_cell_angle_alpha 90.00
_cell_angle_beta 90.00
_cell_angle_gamma 90.00
loop_
_symmetry_equiv_pos_as_xyz
'x,y,z'
'-x+1/2,-y,z+1/2'
'x+1/2,-y+1/2,-z'
'-x,y+1/2,-z+1/2'
loop_
_atom_site_label
_atom_site_fract_x
_atom_site_fract_y
_atom_site_fract_z
_atom_site_occupancy
Sc1 0.022 0.082 0.257 1
Sc2 0.200 0.149 0.534 1
Mo1 0.016 0.644 0.699 1
Mo2 0.236 0.347 0.987 1
```

Computed properties:
**ΔE_f**: 210 meV/atom
**Calculated total energy**: -8.37 eV per atom
**Magnetization**: 0.0 μB per formula unit
**Excess energy over the best structure of this formula in the dataset**: 234.6 meV/atom

***

Entry 2:
An optimized crystal structure of KCeP2S8. Source: Alexandria, functional GGA-PBE.

Cell and atoms, written as CIF:
```
data_KCeP2S8
_symmetry_space_group_name_H-M 'R -3'
_symmetry_Int_Tables_number 148
_symmetry_space_group_name_Hall '-R 3'
_cell_length_a 6.1713
_cell_length_b 6.1713
_cell_length_c 28.4359
_cell_angle_alpha 90.00
_cell_angle_beta 90.00
_cell_angle_gamma 120.00
loop_
_atom_site_label
_atom_site_fract_x
_atom_site_fract_y
_atom_site_fract_z
_atom_site_occupancy
K1 0.0000 0.0000 0.0000 1
Ce1 0.0000 0.0000 0.5000 1
P1 0.0000 0.0000 0.2471 1
S1 0.0000 0.0000 0.3178 1
S2 0.0021 0.3647 0.4421 1
```

Computed properties:
**Calculated total energy**: -4.88 eV per atom
**Formation energy without anion corrections**: -7.72 eV/f.u.
**Magnetization**: 0.7 μB per formula unit

***

Entry 3:
An optimized crystal structure of LaAlRe2. Source: Alexandria, functional GGA-PBE.

Cell and atoms, written as CIF:
```
data_LaAlRe2
_symmetry_space_group_name_H-M 'C 1 2/m 1'
_symmetry_Int_Tables_number 12
_cell_length_a 6.088
_cell_length_b 9.077
_cell_length_c 2.886
_cell_angle_alpha 90.00
_cell_angle_beta 115.71
_cell_angle_gamma 90.00
loop_
_symmetry_equiv_pos_as_xyz
'x,y,z'
'-x,-y,-z'
'-x,y,-z'
'x,-y,z'
'x+1/2,y+1/2,z'
'-x+1/2,-y+1/2,-z'
'-x+1/2,y+1/2,-z'
'x+1/2,-y+1/2,z'
loop_
_atom_site_label
_atom_site_fract_x
_atom_site_fract_y
_atom_site_fract_z
_atom_site_occupancy
La1 0.000 0.000 0.000 1
Al1 0.000 0.500 0.000 1
Re1 0.250 0.250 0.500 1
```

Computed properties:
**ΔE_f**: 522 meV/atom
**Calculated total energy**: -7.87 eV per atom
**Magnetization**: 0.0 μB per formula unit

***

Entry 4:
An optimized crystal structure of TiP2S6. Source: Alexandria, functional GGA-PBE.

Cell and atoms, written as CIF:
```
data_TiP2S6
_symmetry_space_group_name_H-M 'C 1 2/c 1'
_symmetry_Int_Tables_number 15
_cell_length_a 11.699
_cell_length_b 10.581
_cell_length_c 7.366
_cell_angle_alpha 90.00
_cell_angle_beta 111.02
_cell_angle_gamma 90.00
loop_
_symmetry_equiv_pos_as_xyz
'x,y,z'
'-x,-y,-z'
'-x,y,-z+1/2'
'x,-y,z+1/2'
'x+1/2,y+1/2,z'
'-x+1/2,-y+1/2,-z'
'-x+1/2,y+1/2,-z+1/2'
'x+1/2,-y+1/2,z+1/2'
loop_
_atom_site_label
_atom_site_fract_x
_atom_site_fract_y
_atom_site_fract_z
_atom_site_occupancy
Ti1 0.000 0.105 0.250 1
P1 0.203 0.422 0.284 1
S1 0.103 0.074 0.618 1
S2 0.136 0.468 0.944 1
S3 0.164 0.229 0.246 1
```

Computed properties:
**Calculated total energy**: -5.15 eV per atom
**Formation energy without anion corrections**: -2.90 eV/f.u.
**Magnetization**: 0.4 μB per formula unit
**Excess energy over the best structure of this formula in the dataset**: 265.1 meV/atom